1.
# Pm7Si2Hg2, relaxed, DFT PBE
data_Pm7Si2Hg2
_space_group_name_H-M_alt 'C m m m'
_space_group_IT_number 65
_space_group_name_Hall '-C 2 2'
_cell_length_a 8.2322
_cell_length_b 11.0483
_cell_length_c 7.3816
_cell_angle_alpha 90.00
_cell_angle_beta 90.00
_cell_angle_gamma 90.00
loop_
_atom_site_label
_atom_site_type_symbol
_atom_site_fract_x
_atom_site_fract_y
_atom_site_fract_z
_atom_site_occupancy
Pm1 Pm 0.0000 0.0000 0.0000 1
Pm2 Pm 0.0000 0.5000 0.2501 1
Pm3 Pm 0.2500 0.2500 0.2694 1
Si1 Si 0.0000 0.2839 0.0000 1
Hg1 Hg 0.1749 0.0000 0.5000 1
# Uncorrected formation energy   -0.28 eV/atom
# M_tot   0.275 Bohr magnetons per cell

2.
# Pm2SiHg, relaxed, DFT PBE
data_Pm2SiHg
_space_group_name_H-M_alt 'F m -3 m'
_space_group_IT_number 225
_space_group_name_Hall '-F 4 2 3'
_cell_length_a 7.4156
_cell_length_b 7.4156
_cell_length_c 7.4156
_cell_angle_alpha 90.00
_cell_angle_beta 90.00
_cell_angle_gamma 90.00
loop_
_atom_site_label
_atom_site_type_symbol
_atom_site_fract_x
_atom_site_fract_y
_atom_site_fract_z
_atom_site_occupancy
Pm1 Pm 0.2500 0.2500 0.2500 1
Si1 Si 0.0000 0.0000 0.0000 1
Hg1 Hg 0.0000 0.0000 0.5000 1
# Uncorrected formation energy   -0.47 eV/atom
# M_tot   0.000 Bohr magnetons per cell
# Offset from the most stable computed form   0.009 eV/atom